(1)
Compound: Ba2SiMo
Source: Alexandria
Functional: PBE
Structure: optimized geometry

Calculated values
* SG: No. 65
* formation energy (no corrections): 3.3 eV per formula unit
* ρ: 5.12 g/cm3

Cell lengths 7.494, 8.852, 3.897 Å; angles 90.00, 90.00, 90.00 degrees
Element x y z (fractional)
Ba (0.250, 0.250, 0.000)
Ba (0.250, 0.750, 0.000)
Ba (0.750, 0.250, 0.000)
Ba (0.750, 0.750, 0.000)
Si (0.000, 0.000, 0.500)
Si (0.500, 0.500, 0.500)
Mo (0.000, 0.500, 0.500)
Mo (0.500, 0.000, 0.500)

=====

(2)
Compound: ZrTe2S
Source: Alexandria
Functional: PBE
Structure: optimized geometry

Calculated values
* SG: No. 166
* formation energy (no corrections): -1.2 eV per formula unit
* ρ: 5.32 g/cm3

Cell lengths 3.954, 3.954, 26.179 Å; angles 90.00, 90.00, 120.00 degrees
Element x y z (fractional)
Zr (0.000, 0.000, 0.000)
Zr (0.333, 0.667, 0.667)
Zr (0.667, 0.333, 0.333)
Te (0.000, 0.000, 0.403)
Te (0.000, 0.000, 0.597)
Te (0.333, 0.667, 0.070)
Te (0.333, 0.667, 0.264)
Te (0.667, 0.333, 0.736)
Te (0.667, 0.333, 0.930)
S (0.000, 0.000, 0.500)
S (0.333, 0.667, 0.167)
S (0.667, 0.333, 0.833)

=====

(3)
Compound: AcZrSi
Source: Alexandria
Functional: PBE
Structure: optimized geometry

Calculated values
* SG: No. 129
* formation energy (no corrections): -1.5 eV per formula unit
* ρ: 7.18 g/cm3

Cell lengths 4.386, 4.386, 8.323 Å; angles 90.00, 90.00, 90.00 degrees
Element x y z (fractional)
Ac (0.250, 0.250, 0.148)
Ac (0.750, 0.750, 0.852)
Zr (0.250, 0.750, 0.500)
Zr (0.750, 0.250, 0.500)
Si (0.250, 0.250, 0.718)
Si (0.750, 0.750, 0.282)

=====

(4)
Compound: UB2Se6
Source: Alexandria
Functional: PBE
Structure: optimized geometry

Calculated values
* SG: No. 15
* formation energy (no corrections): -2.6 eV per formula unit
* ρ: 6.34 g/cm3

Cell lengths 8.111, 8.111, 6.426 Å; angles 106.40, 106.40, 77.20 degrees
Element x y z (fractional)
U (0.171, 0.829, 0.750)
U (0.829, 0.171, 0.250)
B (0.242, 0.364, 0.772)
B (0.364, 0.242, 0.272)
B (0.636, 0.758, 0.728)
B (0.758, 0.636, 0.228)
Se (0.070, 0.182, 0.660)
Se (0.142, 0.594, 0.961)
Se (0.182, 0.070, 0.160)
Se (0.270, 0.452, 0.516)
Se (0.406, 0.858, 0.539)
Se (0.452, 0.270, 0.016)
Se (0.548, 0.730, 0.984)
Se (0.594, 0.142, 0.461)
Se (0.730, 0.548, 0.484)
Se (0.818, 0.930, 0.840)
Se (0.858, 0.406, 0.039)
Se (0.930, 0.818, 0.340)

=====

(5)
Compound: Na2Np2AsSe2
Source: Alexandria
Functional: PBE
Structure: optimized geometry

Calculated values
* SG: No. 139
* formation energy (no corrections): -3.9 eV per formula unit
* ρ: 5.70 g/cm3

Cell lengths 5.433, 5.433, 14.855 Å; angles 90.00, 90.00, 90.00 degrees
Element x y z (fractional)
Na (0.000, 0.000, 0.196)
Na (0.000, 0.000, 0.804)
Na (0.500, 0.500, 0.304)
Na (0.500, 0.500, 0.696)
Np (0.000, 0.500, 0.000)
Np (0.000, 0.500, 0.500)
Np (0.500, 0.000, 0.000)
Np (0.500, 0.000, 0.500)
As (0.000, 0.000, 0.000)
As (0.500, 0.500, 0.500)
Se (0.000, 0.000, 0.386)
Se (0.000, 0.000, 0.614)
Se (0.500, 0.500, 0.114)
Se (0.500, 0.500, 0.886)

=====

(6)
Compound: Dy6Ho2Mg
Source: Alexandria
Functional: PBE
Structure: optimized geometry

Calculated values
* ΔE to the lowest computed polymorph: 0.038 eV per atom
* DFT formation energy: 61 meV/atom
* SG: No. 187
* ρ: 7.88 g/cm3

Cell lengths 3.535, 3.535, 25.877 Å; angles 90.00, 90.00, 120.00 degrees
Element x y z (fractional)
Dy (0.000, 0.000, 0.066)
Dy (0.000, 0.000, 0.285)
Dy (0.000, 0.000, 0.715)
Dy (0.000, 0.000, 0.934)
Dy (0.333, 0.667, 0.394)
Dy (0.333, 0.667, 0.606)
Ho (0.333, 0.667, 0.174)
Ho (0.333, 0.667, 0.826)
Mg (0.000, 0.000, 0.500)

=====

(7)
Compound: Fe2CuGeH
Source: Alexandria
Functional: PBE
Structure: optimized geometry

Calculated values
* total DFT energy (no corrections): -0.2109 hartree per atom
* SG: No. 123
* ρ: 8.17 g/cm3

Cell lengths 3.654, 3.654, 3.788 Å; angles 90.00, 90.00, 90.00 degrees
Element x y z (fractional)
Fe (0.000, 0.500, 0.000)
Fe (0.500, 0.000, 0.000)
Cu (0.000, 0.000, 0.500)
Ge (0.500, 0.500, 0.500)
H (0.000, 0.000, 0.000)

=====

(8)
Compound: AuSeBr3
Source: Alexandria
Functional: PBE
Structure: optimized geometry

Calculated values
* ΔE to the lowest computed polymorph: 0.529 eV per atom
* SG: No. 221
* formation energy (no corrections): 2.0 eV per formula unit
* ρ: 5.65 g/cm3

Cell lengths 5.332, 5.332, 5.332 Å; angles 90.00, 90.00, 90.00 degrees
Element x y z (fractional)
Au (0.000, 0.000, 0.000)
Se (0.500, 0.500, 0.500)
Br (0.000, 0.000, 0.500)
Br (0.000, 0.500, 0.000)
Br (0.500, 0.000, 0.000)